Entry 1:
Below is a relaxed La3Sb4Au3 crystal, with properties calculated at the GGA-PBEsol level.

Its uncorrected formation energy is -0.9928 eV per atom. As for the density: 9.7 g/cm3.

Structure (POSCAR):
```
La3Sb4Au3
1.0
8.717 0.000 0.000
-2.906 8.219 0.000
-2.906 -4.109 7.118
La Sb Au
6 8 6
Cartesian
-2.179 4.623 4.449 La
2.179 1.541 6.228 La
5.085 -2.055 5.338 La
-0.726 0.514 2.669 La
3.632 2.055 1.779 La
0.726 5.650 0.890 La
3.858 5.456 2.333 Sb
5.860 0.000 0.000 Sb
-1.953 3.402 1.226 Sb
0.952 3.470 3.559 Sb
1.501 0.000 0.000 Sb
-0.500 -0.708 5.892 Sb
2.405 -0.639 3.559 Sb
-3.406 1.347 4.785 Sb
2.179 -1.541 6.228 Au
-2.179 6.164 1.779 Au
0.726 2.568 0.890 Au
-0.726 2.055 5.338 Au
3.632 3.596 4.449 Au
5.085 -0.514 2.669 Au
```

Entry 2:
Below is a relaxed La2SbAu crystal, with properties calculated at the GGA-PBEsol level.

Its uncorrected formation energy is -0.9014 eV per atom. As for the density: 9.0 g/cm3.

Structure (POSCAR):
```
La2SbAu
1.0
-2.521 2.032 2.323
-3.161 -4.185 0.230
2.555 -1.697 4.259
La Sb Au
2 1 1
Cartesian
-2.903 -1.683 4.305 La
-2.607 1.248 2.061 La
-2.927 -1.861 1.015 Sb
-0.054 -0.597 3.029 Au
```

Entry 3:
Below is a relaxed LaSbAu crystal, with properties calculated at the GGA-PBEsol level.

Its uncorrected formation energy is -0.9429 eV per atom. As for the density: 9.8 g/cm3.

Structure (POSCAR):
```
LaSbAu
1.0
4.314 0.000 0.000
0.000 4.567 0.000
0.000 -2.284 3.955
Sb La Au
1 1 1
Cartesian
0.961 2.284 1.318 Sb
2.966 0.000 2.637 La
0.387 0.000 0.000 Au
```

Entry 4:
Below is a relaxed La2SbAu2 crystal, with properties calculated at the GGA-PBEsol level.

Its uncorrected formation energy is -0.9045 eV per atom. As for the density: 10.3 g/cm3.

Structure (POSCAR):
```
La2SbAu2
1.0
4.162 0.000 0.000
0.000 7.851 0.000
0.000 0.000 7.851
La Sb Au
4 2 4
Cartesian
2.081 5.306 6.471 La
2.081 2.545 1.381 La
2.081 1.381 5.306 La
2.081 6.471 2.545 La
0.000 3.926 3.926 Sb
0.000 0.000 0.000 Sb
0.000 0.980 2.946 Au
0.000 6.872 4.906 Au
0.000 4.906 0.980 Au
0.000 2.946 6.872 Au
```

Entry 5:
Below is a relaxed LaSc2Au crystal, with properties calculated at the GGA-PBEsol level.

The energy of formation from the pure elements is -0.2351 eV per atom. As for the density: 7.6 g/cm3.

Structure (POSCAR):
```
LaSc2Au
1.0
-0.224 -4.018 1.970
3.950 0.749 1.976
-2.164 1.890 3.609
Au Sc La
1 2 1
Cartesian
0.781 -0.689 3.778 Au
1.975 0.374 0.988 Sc
-0.112 -2.009 0.985 Sc
-1.082 0.945 1.805 La
```

Entry 6:
Below is a relaxed La2ScAu crystal, with properties calculated at the GGA-PBEsol level.

The energy of formation from the pure elements is -0.3638 eV per atom. As for the density: 8.2 g/cm3.

Structure (POSCAR):
```
La2ScAu
1.0
3.544 0.000 0.000
0.000 3.544 0.000
0.000 0.000 8.379
Au Sc La
1 1 2
Cartesian
1.772 1.772 5.969 Au
0.000 0.000 4.644 Sc
1.772 1.772 2.276 La
0.000 0.000 8.058 La
```

Entry 7:
Below is a relaxed La2ScAu crystal, with properties calculated at the GGA-PBEsol level.

The energy of formation from the pure elements is -0.3037 eV per atom. As for the density: 7.9 g/cm3.

Structure (POSCAR):
```
La2ScAu
1.0
-2.951 -1.682 -1.767
1.955 -3.290 -0.132
-2.847 -1.957 6.616
Sc La Au
1 2 1
Cartesian
-0.498 -2.486 -0.950 Sc
-2.070 -1.423 4.809 La
-0.777 -0.534 1.806 La
-1.921 -3.464 2.358 Au
```

Entry 8:
Below is a relaxed LaScAu2 crystal, with properties calculated at the GGA-PBEsol level.

The energy of formation from the pure elements is -0.7828 eV per atom. As for the density: 11.1 g/cm3.

Structure (POSCAR):
```
LaScAu2
1.0
-1.715 2.632 1.287
-2.390 -2.119 1.148
3.746 -0.722 6.466
Au Sc La
2 1 1
Cartesian
1.104 -0.213 1.906 Au
2.642 -0.509 4.561 Au
-0.180 -0.105 4.451 Sc
-2.053 0.256 1.218 La
```